No. 1
Entry from OQMD: a relaxed ZnCuSiIr crystal (GGA-PBE).

The structure in POSCAR format:
```
ZnCuSiIr
1.0
0.000 2.977 2.977
2.977 0.000 2.977
2.977 2.977 0.000
Si Cu Ir Zn
1 1 1 1
direct
0.000 0.000 0.000 Si
0.750 0.750 0.750 Cu
0.250 0.250 0.250 Ir
0.500 0.500 0.500 Zn
```

Space-group type: F-43m, No. 216
E (eV per atom): -4.98
Spin magnetization (Bohr magnetons per cell): 0.00
Excess energy over the best structure of this formula in the dataset (eV/f.u.): 0.00



No. 2
Entry from OQMD: a relaxed AlMo4PbC2 crystal (GGA-PBE).

The structure in POSCAR format:
```
AlMo4PbC2
1.0
3.141 0.000 0.000
-1.570 2.720 0.000
0.000 0.000 13.643
C Mo Pb Al
2 4 1 1
direct
0.333 0.667 0.760 C
0.333 0.667 0.240 C
0.000 0.000 0.320 Mo
0.000 0.000 0.680 Mo
0.667 0.333 0.845 Mo
0.667 0.333 0.155 Mo
0.667 0.333 0.500 Pb
0.000 0.000 0.000 Al
```

Space-group type: P-6m2, No. 187
E (eV per atom): -8.61
Spin magnetization (Bohr magnetons per cell): 0.02



No. 3
Entry from OQMD: a relaxed ZnAu17 crystal (GGA-PBE).

The structure in POSCAR format:
```
ZnAu17
1.0
-1.074 -1.950 -5.335
-1.226 -3.300 4.585
-32.453 14.014 1.410
Au Zn
34 2
direct
0.500 0.000 0.500 Au
0.833 0.167 0.361 Au
0.334 0.167 0.361 Au
0.000 0.000 0.500 Au
0.333 0.167 0.570 Au
0.666 0.833 0.639 Au
0.000 0.000 0.292 Au
0.833 0.667 0.570 Au
0.834 0.166 0.780 Au
0.667 0.333 0.430 Au
0.002 0.501 0.709 Au
0.834 0.667 0.780 Au
0.333 0.166 0.780 Au
0.667 0.834 0.220 Au
0.667 0.833 0.430 Au
0.500 0.500 0.500 Au
0.167 0.334 0.639 Au
0.333 0.667 0.361 Au
0.499 0.998 0.709 Au
0.501 0.002 0.291 Au
0.833 0.167 0.570 Au
0.833 0.666 0.361 Au
0.000 0.500 0.500 Au
0.000 0.000 0.708 Au
0.501 0.499 0.291 Au
0.167 0.833 0.430 Au
0.166 0.333 0.220 Au
0.166 0.834 0.220 Au
0.667 0.333 0.639 Au
0.167 0.333 0.430 Au
0.333 0.667 0.570 Au
0.998 0.499 0.291 Au
0.499 0.501 0.709 Au
0.167 0.833 0.639 Au
0.667 0.333 0.223 Zn
0.333 0.667 0.777 Zn
```

Calculated formation energy (eV per atom): 0.04
Space-group type: P-3m1, No. 164
E (eV per atom): -3.11



No. 4
Entry from OQMD: a relaxed CsNaAsAu crystal (GGA-PBE).

The structure in POSCAR format:
```
CsNaAsAu
1.0
0.000 3.772 3.772
3.772 0.000 3.772
3.772 3.772 0.000
Na Cs Au As
1 1 1 1
direct
0.500 0.500 0.500 Na
0.250 0.250 0.250 Cs
0.750 0.750 0.750 Au
0.000 0.000 0.000 As
```

Space-group type: F-43m, No. 216
E (eV per atom): -2.50
Excess energy over the best structure of this formula in the dataset (eV/f.u.): 1.88



No. 5
Entry from OQMD: a relaxed BaThU crystal (GGA-PBE).

The structure in POSCAR format:
```
BaThU
1.0
0.000 3.880 3.880
3.880 0.000 3.880
3.880 3.880 0.000
Ba Th U
1 1 1
direct
0.250 0.250 0.250 Ba
0.750 0.750 0.750 Th
0.000 0.000 0.000 U
```

Space-group type: F-43m, No. 216
E (eV per atom): -5.35
Spin magnetization (Bohr magnetons per cell): 4.31
Excess energy over the best structure of this formula in the dataset (eV/f.u.): 0.00



No. 6
Entry from OQMD: a relaxed InPd8 crystal (GGA-PBE).

The structure in POSCAR format:
```
InPd8
1.0
3.896 0.000 0.000
1.948 4.362 0.000
0.016 0.048 26.168
Pd In
16 2
direct
0.754 0.494 0.240 Pd
0.451 0.097 0.619 Pd
0.949 0.102 0.449 Pd
0.249 0.502 0.416 Pd
0.150 0.700 0.653 Pd
0.549 0.902 0.381 Pd
0.649 0.702 0.483 Pd
0.051 0.898 0.551 Pd
0.851 0.300 0.347 Pd
0.351 0.299 0.517 Pd
0.153 0.694 0.313 Pd
0.847 0.306 0.687 Pd
0.246 0.506 0.760 Pd
0.548 0.902 0.724 Pd
0.452 0.098 0.276 Pd
0.751 0.498 0.585 Pd
0.944 0.110 0.790 In
0.056 0.890 0.211 In
```

Space-group type: P-1, No. 2
E (eV per atom): -4.95



No. 7
Entry from OQMD: a relaxed Cu4Ag crystal (GGA-PBE).

The structure in POSCAR format:
```
Cu4Ag
1.0
-7.032 0.280 1.155
-6.769 -2.232 0.254
2.824 -1.972 6.321
Cu Ag
8 2
direct
0.500 0.500 0.500 Cu
0.911 0.911 0.195 Cu
0.307 0.307 0.921 Cu
0.693 0.693 0.079 Cu
0.089 0.089 0.805 Cu
0.500 0.500 0.000 Cu
0.097 0.097 0.288 Cu
0.903 0.903 0.712 Cu
0.303 0.303 0.385 Ag
0.697 0.697 0.615 Ag
```

Calculated formation energy (eV per atom): 0.07
Space-group type: C2/m, No. 12
E (eV per atom): -3.47
Excess energy over the best structure of this formula in the dataset (eV/f.u.): 0.11



No. 8
Entry from OQMD: a relaxed PaSiAs crystal (GGA-PBE).

The structure in POSCAR format:
```
PaSiAs
1.0
-4.038 -1.870 0.987
-3.788 2.530 -0.179
-3.056 -0.703 -3.309
Pa Si As
1 1 1
direct
0.750 0.750 0.750 Pa
0.000 0.000 0.000 Si
0.250 0.250 0.250 As
```

Space-group type: F-43m, No. 216
E (eV per atom): -6.55
Spin magnetization (Bohr magnetons per cell): 0.08
Excess energy over the best structure of this formula in the dataset (eV/f.u.): 0.32



No. 9
Entry from OQMD: a relaxed TcSnAu crystal (GGA-PBE).

The structure in POSCAR format:
```
TcSnAu
1.0
0.000 3.168 3.168
3.168 0.000 3.168
3.168 3.168 0.000
Tc Sn Au
1 1 1
direct
0.000 0.000 0.000 Tc
0.750 0.750 0.750 Sn
0.250 0.250 0.250 Au
```

Space-group type: F-43m, No. 216
E (eV per atom): -5.47
Spin magnetization (Bohr magnetons per cell): 1.12
Excess energy over the best structure of this formula in the dataset (eV/f.u.): 0.00



No. 10
Entry from OQMD: a relaxed Ho2Re2C3 crystal (GGA-PBE).

The structure in POSCAR format:
```
Ho2Re2C3
1.0
-4.649 -3.165 -2.353
-2.086 -5.179 -2.447
0.106 -0.129 5.657
C Ho Re
3 2 2
direct
0.000 0.000 0.500 C
0.753 0.753 0.766 C
0.247 0.247 0.234 C
0.610 0.610 0.317 Ho
0.390 0.390 0.683 Ho
0.155 0.155 0.822 Re
0.845 0.845 0.178 Re
```

Space-group type: C2/m, No. 12
E (eV per atom): -9.15
Spin magnetization (Bohr magnetons per cell): 0.00



No. 11
Entry from OQMD: a relaxed Y2TlCo crystal (GGA-PBE).

The structure in POSCAR format:
```
Y2TlCo
1.0
3.861 0.825 2.974
-0.694 0.512 4.866
1.531 -3.532 3.099
Co Y Tl
1 2 1
direct
0.250 0.250 0.250 Co
0.000 0.000 0.000 Y
0.750 0.750 0.750 Y
0.500 0.500 0.500 Tl
```

Space-group type: F-43m, No. 216
E (eV per atom): -5.52
Spin magnetization (Bohr magnetons per cell): 0.01



No. 12
Entry from OQMD: a relaxed DyTaW crystal (GGA-PBE).

The structure in POSCAR format:
```
DyTaW
1.0
-0.770 1.230 4.355
-2.773 3.538 0.930
-4.110 -0.744 1.903
W Ta Dy
1 1 1
direct
0.750 0.750 0.750 W
0.250 0.250 0.250 Ta
0.000 0.000 0.000 Dy
```

Calculated formation energy (eV per atom): 1.90
Space-group type: F-43m, No. 216
E (eV per atom): -7.90
Spin magnetization (Bohr magnetons per cell): 0.01



No. 13
Entry from OQMD: a relaxed PrDyAu crystal (GGA-PBE).

The structure in POSCAR format:
```
PrDyAu
1.0
0.429 -1.450 4.696
-3.188 1.639 3.389
-3.330 -3.076 1.946
Pr Dy Au
1 1 1
direct
0.750 0.750 0.750 Pr
0.000 0.000 0.000 Dy
0.250 0.250 0.250 Au
```

Calculated formation energy (eV per atom): 0.06
Space-group type: F-43m, No. 216
E (eV per atom): -4.16
Spin magnetization (Bohr magnetons per cell): 0.00



No. 14
Entry from OQMD: a relaxed Dy3AlNiS7 crystal (GGA-PBE).

The structure in POSCAR format:
```
Dy3AlNiS7
1.0
9.533 0.000 0.000
-4.767 8.256 0.000
0.000 0.000 6.175
Ni Dy S Al
2 6 14 2
direct
0.000 0.000 0.560 Ni
0.000 0.000 0.060 Ni
0.220 0.845 0.228 Dy
0.780 0.155 0.728 Dy
0.624 0.780 0.228 Dy
0.845 0.624 0.728 Dy
0.376 0.220 0.728 Dy
0.155 0.376 0.228 Dy
0.479 0.912 0.499 S
0.088 0.568 0.499 S
0.667 0.333 0.517 S
0.868 0.100 0.323 S
0.432 0.521 0.499 S
0.521 0.088 0.999 S
0.768 0.868 0.823 S
0.568 0.479 0.999 S
0.912 0.432 0.999 S
0.900 0.768 0.323 S
0.333 0.667 0.017 S
0.232 0.132 0.323 S
0.100 0.232 0.823 S
0.132 0.900 0.823 S
0.667 0.333 0.154 Al
0.333 0.667 0.654 Al
```

Space-group type: P6_3, No. 173
E (eV per atom): -5.89
Spin magnetization (Bohr magnetons per cell): 4.00



No. 15
Entry from OQMD: a relaxed Ta3SN2 crystal (GGA-PBE).

The structure in POSCAR format:
```
Ta3SN2
1.0
-0.843 -1.759 2.482
3.008 0.038 -0.959
3.155 13.189 10.421
Ta N S
6 4 2
direct
0.667 0.333 0.355 Ta
0.667 0.333 0.145 Ta
0.000 0.000 0.000 Ta
0.333 0.667 0.855 Ta
0.000 0.000 0.500 Ta
0.333 0.667 0.645 Ta
0.333 0.667 0.429 N
0.333 0.667 0.071 N
0.667 0.333 0.929 N
0.667 0.333 0.571 N
0.000 0.000 0.750 S
0.000 0.000 0.250 S
```

Space-group type: P6_3/mmc, No. 194
E (eV per atom): -10.12
Spin magnetization (Bohr magnetons per cell): 0.00



No. 16
Entry from OQMD: a relaxed La2GeAsPt2 crystal (GGA-PBE).

The structure in POSCAR format:
```
La2GeAsPt2
1.0
4.381 0.000 0.000
-2.190 3.794 0.000
0.000 0.000 8.286
As Pt Ge La
1 2 1 2
direct
0.000 0.000 0.000 As
0.000 0.000 0.500 Pt
0.667 0.333 0.000 Pt
0.667 0.333 0.500 Ge
0.333 0.667 0.752 La
0.333 0.667 0.248 La
```

Space-group type: P-6m2, No. 187
E (eV per atom): -6.41
Spin magnetization (Bohr magnetons per cell): 0.01



No. 17
Entry from OQMD: a relaxed NdCoGe crystal (GGA-PBE).

The structure in POSCAR format:
```
NdCoGe
1.0
-3.639 0.019 -2.011
-1.240 -3.295 2.212
-2.615 4.186 4.770
Ge Nd Co
2 2 2
direct
0.000 0.500 0.185 Ge
0.500 0.000 0.815 Ge
0.500 0.000 0.311 Nd
0.000 0.500 0.689 Nd
0.500 0.500 0.000 Co
0.000 0.000 0.000 Co
```

Space-group type: P4/nmm, No. 129
E (eV per atom): -6.10
Spin magnetization (Bohr magnetons per cell): 0.75



No. 18
Entry from OQMD: a relaxed Tb4FeHg crystal (GGA-PBE).

The structure in POSCAR format:
```
Tb4FeHg
1.0
3.150 6.627 1.885
-4.894 -2.276 5.316
4.693 -3.694 1.417
Fe Tb Hg
2 8 2
direct
0.998 0.002 0.250 Fe
0.002 0.998 0.750 Fe
0.204 0.367 0.595 Tb
0.796 0.633 0.405 Tb
0.268 0.941 0.539 Tb
0.367 0.204 0.095 Tb
0.059 0.732 0.961 Tb
0.732 0.059 0.461 Tb
0.941 0.268 0.039 Tb
0.633 0.796 0.905 Tb
0.372 0.628 0.250 Hg
0.628 0.372 0.750 Hg
```

Calculated formation energy (eV per atom): -0.18
Space-group type: C2/c, No. 15
E (eV per atom): -4.70
Spin magnetization (Bohr magnetons per cell): 0.04



No. 19
Entry from OQMD: a relaxed Li2InPbAu2 crystal (GGA-PBE).

The structure in POSCAR format:
```
Li2InPbAu2
1.0
4.834 0.000 0.000
-2.417 4.186 0.000
0.000 0.000 6.096
In Au Pb Li
1 2 1 2
direct
0.000 0.000 0.000 In
0.000 0.000 0.500 Au
0.333 0.667 0.000 Au
0.333 0.667 0.500 Pb
0.667 0.333 0.243 Li
0.667 0.333 0.757 Li
```

Space-group type: P-6m2, No. 187
E (eV per atom): -3.17



No. 20
Entry from OQMD: a relaxed BaCdGaAu crystal (GGA-PBE).

The structure in POSCAR format:
```
BaCdGaAu
1.0
-4.212 0.217 3.132
-1.265 4.503 2.392
-4.264 2.670 -1.513
Cd Ba Au Ga
1 1 1 1
direct
0.500 0.500 0.500 Cd
0.250 0.250 0.250 Ba
0.750 0.750 0.750 Au
0.000 0.000 0.000 Ga
```

Space-group type: F-43m, No. 216
E (eV per atom): -2.50
Excess energy over the best structure of this formula in the dataset (eV/f.u.): 0.27



In Å³/f.u., the V values for the records above are, in order, 52.79; 116.55; 511.84; 107.34; 116.85; 222.36; 65.28; 66.97; 63.59; 99.21; 85.36; 68.38; 84.90; 243.00; 73.81; 137.70; 59.33; 158.63; 123.35; 102.50.